(1)
This record from Alexandria via LeMat-Bulk describes Ba2LiPdF6 after structural relaxation. The functional is PBE-GGA.

Cell: 5.658 8.848 6.379 Å, 90.00 90.00 90.00°
Space group Pmmn (No. 59, origin choice 2)
One atom of each set of equivalent atoms:
Ba1 0.250 0.010 0.222 [4 per cell]
Li1 0.250 0.750 0.802 [2 per cell]
Pd1 0.250 0.250 0.678 [2 per cell]
F1 0.005 0.750 0.054 [4 per cell]
F2 0.007 0.250 0.408 [4 per cell]
F3 0.250 0.531 0.823 [4 per cell]

Properties
crystal system	orthorhombic
raw total energy	-101.7	eV/cell
formation energy (no corrections)	-2.87	eV per atom

=====

(2)
This record from Alexandria via LeMat-Bulk describes BaLi2PdF8 after structural relaxation. The functional is PBE-GGA.

Cell: 5.5309 5.5309 7.5125 Å, 90.00 90.00 120.00°
Space group P-3m1 (No. 164)
One atom of each set of equivalent atoms:
Ba1 0.0000 0.0000 0.0000 [1 per cell]
Li1 0.3333 0.6667 0.2470 [2 per cell]
Pd1 0.0000 0.0000 0.5000 [1 per cell]
F1 0.1541 0.3083 0.3322 [6 per cell]
F2 0.3333 0.6667 0.0108 [2 per cell]

Properties
crystal system	trigonal
raw total energy	-54.9	eV/cell
formation energy (no corrections)	-2.41	eV per atom

=====

(3)
This record from Alexandria via LeMat-Bulk describes Ba2LiPdF after structural relaxation. The functional is PBE-GGA.

Cell: 5.612 5.612 4.173 Å, 90.00 90.00 90.00°
Space group P4/mmm (No. 123)
One atom of each set of equivalent atoms:
Ba1 0.000 0.500 0.000 [2 per cell]
Li1 0.000 0.000 0.500 [1 per cell]
Pd1 0.500 0.500 0.500 [1 per cell]
F1 0.000 0.000 0.000 [1 per cell]

Properties
crystal system	tetragonal
raw total energy	-19.0	eV/cell
DOS(E_F)	0.612	states/eV per atom
formation energy (no corrections)	-1.23	eV per atom

=====

(4)
This record from Alexandria via LeMat-Bulk describes Ba2Li3PmF12 after structural relaxation. The functional is PBE-GGA.

Cell: 7.1164 7.1164 17.2440 Å, 90.00 90.00 120.00°
Space group R-3m (No. 166, hexagonal axes)
One atom of each set of equivalent atoms:
Ba1 0.0000 0.0000 0.1062 [6 per cell]
Li1 0.0000 0.5000 0.0000 [9 per cell]
Pm1 0.0000 0.0000 0.5000 [3 per cell]
F1 0.0348 0.5174 0.8768 [18 per cell]
F2 0.0588 0.5294 0.2982 [18 per cell]

Properties
crystal system	trigonal
raw total energy	-275.6	eV/cell
DOS(E_F)	0.971	states/eV per atom
formation energy (no corrections)	-3.06	eV per atom

=====

(5)
This record from Alexandria via LeMat-Bulk describes BaLiPmF6 after structural relaxation. The functional is PBE-GGA.

Cell: 5.7293 5.7293 11.3746 Å, 90.00 90.00 120.00°
Space group P-31c (No. 163)
One atom of each set of equivalent atoms:
Ba1 0.0000 0.0000 0.0000 [2 per cell]
Li1 0.3333 0.6667 0.2500 [2 per cell]
Pm1 0.3333 0.6667 0.7500 [2 per cell]
F1 0.0188 0.3729 0.1435 [12 per cell]

Properties
crystal system	trigonal
raw total energy	-106.2	eV/cell
DOS(E_F)	0.000	states/eV per atom
formation energy (no corrections)	-3.70	eV per atom

=====

(6)
This record from Alexandria via LeMat-Bulk describes Rb2BaLi2F7 after structural relaxation. The functional is PBE-GGA.

Cell: 4.107 4.107 22.132 Å, 90.00 90.00 90.00°
Space group I4/mmm (No. 139)
One atom of each set of equivalent atoms:
Rb1 0.000 0.000 0.182 [4 per cell]
Ba1 0.000 0.000 0.000 [2 per cell]
Li1 0.000 0.000 0.404 [4 per cell]
F1 0.000 0.000 0.312 [4 per cell]
F2 0.000 0.000 0.500 [2 per cell]
F3 0.000 0.500 0.086 [8 per cell]

Properties
crystal system	tetragonal
raw total energy	-109.8	eV/cell
DOS(E_F)	1.427	states/eV per atom
formation energy (no corrections)	-2.84	eV per atom